PrNdYHo | PBE | optimized geometry

It has space group I-4m2 (No. 119), with a = 5.1392 Å, b = 5.1392 Å, c = 10.2015 Å, α = 90.00°, β = 90.00° and γ = 90.00°. The inequivalent atoms are Pr at (0.0000, 0.0000, 0.0000), Nd at (0.0000, 0.5000, 0.7500), Y at (0.0000, 0.5000, 0.2500) and Ho at (0.0000, 0.0000, 0.5000).

The energy above the most stable polymorph in this dataset is 0.0 meV per atom. The volume is 33.68 A^3/atom. The value obtained for the energy of formation from the pure elements is 19 meV/atom. The calculation puts the density of states at the Fermi level at 11.6 states/eV per cell. Its mass density is 6.6 Mg/m³. For the size of the total moment, the calculation gives 0.00 μB/cell.

---

Tb3Ga2Rh6 | PBE | optimized geometry

It has space group Im-3m (No. 229), with a = 9.3456 Å, b = 9.3456 Å, c = 9.3456 Å, α = 90.00°, β = 90.00° and γ = 90.00°. The inequivalent atoms are Tb at (0.0000, 0.0000, 0.2914), Ga at (0.2500, 0.2500, 0.2500) and Rh at (0.0000, 0.3438, 0.3438).

The volume is 18.55 A^3/atom. The value obtained for the energy of formation from the pure elements is -721 meV/atom. The calculation puts the density of states at the Fermi level at 36.2 states/eV per cell. Its mass density is 10.0 Mg/m³. For the size of the total moment, the calculation gives 0.00 μB/cell.

---

ScAlP | PBE | optimized geometry

It has space group Cmcm (No. 63), with a = 3.7663 Å, b = 9.7881 Å, c = 5.4138 Å, α = 90.00°, β = 90.00° and γ = 90.00°. The inequivalent atoms are Sc at (0.0000, 0.1816, 0.2500), Al at (0.0000, 0.5000, 0.0000) and P at (0.0000, 0.1230, 0.7500).

The volume is 16.63 A^3/atom. The value obtained for the energy of formation from the pure elements is -805 meV/atom. The calculation puts the density of states at the Fermi level at 5.7 states/eV per cell. Its mass density is 3.4 Mg/m³. For the size of the total moment, the calculation gives 0.00 μB/cell.

---

Tb2PrEr5Sc | PBE | optimized geometry

It has space group Cmc2_1 (No. 36), with a = 5.5520 Å, b = 19.6266 Å, c = 10.3495 Å, α = 90.00°, β = 90.00° and γ = 90.00°. The inequivalent atoms are Tb at (0.0000, 0.1113, 0.0000), Tb at (0.0000, 0.1140, 0.4189), Pr at (0.0000, 0.4138, 0.1385), Er at (0.0000, 0.0184, 0.7059), Er at (0.0000, 0.2765, 0.0077), Er at (0.0000, 0.2975, 0.3911), Er at (0.0000, 0.3761, 0.7050), Er at (0.0000, 0.4805, 0.4232) and Sc at (0.0000, 0.1968, 0.6993).

The volume is 31.33 A^3/atom. The value obtained for the energy of formation from the pure elements is 173 meV/atom. The calculation puts the density of states at the Fermi level at 55.6 states/eV per cell. Its mass density is 7.9 Mg/m³. For the size of the total moment, the calculation gives 0.01 μB/cell.

---

Mg2PaSiIr2 | PBE | optimized geometry

It has space group I4/mmm (No. 139), with a = 5.2263 Å, b = 5.2263 Å, c = 9.7086 Å, α = 90.00°, β = 90.00° and γ = 90.00°. The inequivalent atoms are Mg at (0.0000, 0.5000, 0.2500), Pa at (0.0000, 0.0000, 0.0000), Si at (0.0000, 0.0000, 0.5000) and Ir at (0.0000, 0.0000, 0.2542).

The volume is 22.10 A^3/atom. The calculation puts the density of states at the Fermi level at 7.2 states/eV per cell. Its mass density is 8.7 Mg/m³. The value obtained for the uncorrected formation energy is -68.7 meV per atom. For the size of the total moment, the calculation gives 0.00 μB/cell.

---

BeCu2Ru | PBE | optimized geometry

It has space group C2/m (No. 12), with a = 4.8194 Å, b = 8.7774 Å, c = 2.5109 Å, α = 90.00°, β = 115.97° and γ = 90.00°. The inequivalent atoms are Be at (0.0000, 0.0000, 0.0000), Cu at (0.2500, 0.2500, 0.5000) and Ru at (0.0000, 0.5000, 0.0000).

The volume is 11.94 A^3/atom. The value obtained for the energy of formation from the pure elements is 129 meV/atom. The calculation puts the density of states at the Fermi level at 3.9 states/eV per cell. Its mass density is 8.2 Mg/m³. For the size of the total moment, the calculation gives 0.00 μB/cell.

---

Bi3Pd2Rh | PBE | optimized geometry

It has space group P2_1/m (No. 11), with a = 7.7367 Å, b = 3.6946 Å, c = 10.1962 Å, α = 90.00°, β = 100.16° and γ = 90.00°. The inequivalent atoms are Bi at (0.0290, 0.2500, 0.3498), Bi at (0.3077, 0.2500, 0.0334), Bi at (0.4183, 0.2500, 0.6982), Pd at (0.0633, 0.7500, 0.9168), Pd at (0.3908, 0.2500, 0.4196) and Rh at (0.2167, 0.7500, 0.2228).

The volume is 23.91 A^3/atom. The value obtained for the energy of formation from the pure elements is -132 meV/atom. The calculation puts the density of states at the Fermi level at 6.9 states/eV per cell. Its mass density is 10.9 Mg/m³. For the size of the total moment, the calculation gives 0.00 μB/cell.

---

PmTm2Cd3 | PBE | optimized geometry

It has space group P4/mmm (No. 123), with a = 3.7290 Å, b = 3.7290 Å, c = 11.3094 Å, α = 90.00°, β = 90.00° and γ = 90.00°. The inequivalent atoms are Pm at (0.0000, 0.0000, 0.0000), Tm at (0.0000, 0.0000, 0.3376), Cd at (0.5000, 0.5000, 0.1795) and Cd at (0.5000, 0.5000, 0.5000).

The energy above the most stable polymorph in this dataset is 0.0 meV per atom. The volume is 26.21 A^3/atom. The value obtained for the energy of formation from the pure elements is -311 meV/atom. The calculation puts the density of states at the Fermi level at 5.6 states/eV per cell. Its mass density is 8.7 Mg/m³. For the size of the total moment, the calculation gives 0.47 μB/cell.